Entry from Alexandria via LeMat-Bulk: a relaxed KLi2Co crystal (PBE).

Density of states at the Fermi level, states/eV per cell: 4.3
E, eV per atom: -2.484
Formation energy, eV per atom: 0.52
SG: Pm
Energy above the most stable polymorph in this dataset, meV/atom: 0

Unit cell a=2.7813 b=4.4173 c=7.6587 alpha=90.00 beta=99.90 gamma=90.00
Last column: nearest neighbours and their distance in Å.
Fractional coordinates of all 4 atoms:
K: 0.0000 0.0000 0.0000  2 K 2.78
Li: 0.6965 0.5000 0.3836  2 Co 2.59-2.61, 4 Li 2.66-2.78
Li: 0.7708 0.0000 0.5801  4 Li 2.66-2.78, 4 Co 2.69-2.72
Co: 0.3250 0.5000 0.6747  6 Li 2.59-2.72, 2 Co 2.78

=====

Entry from Alexandria via LeMat-Bulk: a relaxed CoTe2NCl crystal (PBE).

Density of states at the Fermi level, states/eV per cell: 2.6
E, eV per atom: -4.383
SG: P4/mmm
Energy above the most stable polymorph in this dataset, meV/atom: 0

Unit cell a=5.4466 b=5.4466 c=3.3677 alpha=90.00 beta=90.00 gamma=90.00
Last column: nearest neighbours and their distance in Å.
Fractional coordinates of all 5 atoms:
Co: 0.0000 0.0000 0.0000  2 N 1.68
Te: 0.0000 0.5000 0.0000  2 Co 2.72
Te: 0.5000 0.0000 0.0000  2 Co 2.72
N: 0.0000 0.0000 0.5000  2 Co 1.68
Cl: 0.5000 0.5000 0.5000  8 Te 3.20, 2 Cl 3.37

=====

Entry from Alexandria via LeMat-Bulk: a relaxed SrThSe2 crystal (PBE).

Density of states at the Fermi level, states/eV per cell: 0.8
E, eV per atom: -5.703
SG: R3m
Energy above the most stable polymorph in this dataset, meV/atom: 24

Unit cell a=8.0730 b=8.0730 c=8.0730 alpha=29.64 beta=29.64 gamma=29.64
Last column: nearest neighbours and their distance in Å.
Fractional coordinates of all 4 atoms:
Sr: 0.0000 0.0000 0.0000  6 Se 3.03-3.16
Th: 0.8271 0.8271 0.8271  6 Se 3.02-3.07
Se: 0.4140 0.4140 0.4140  3 Th 3.02, 3 Sr 3.03
Se: 0.5772 0.5772 0.5772  3 Th 3.07, 3 Sr 3.16

=====

Entry from Alexandria via LeMat-Bulk: a relaxed RbNaLiF3 crystal (PBE).

Density of states at the Fermi level, states/eV per cell: 0.0
E, eV per atom: -4.308
SG: C2/m

Unit cell a=7.1391 b=7.1391 c=7.2234 alpha=106.26 beta=106.26 gamma=31.44
Last column: nearest neighbours and their distance in Å.
Fractional coordinates of all 12 atoms:
Rb: 0.1492 0.1492 0.0707  7 F 2.76-2.87
Rb: 0.8508 0.8508 0.9293  7 F 2.76-2.87
Na: 0.1563 0.1563 0.5626  6 F 2.38-2.50
Na: 0.8437 0.8437 0.4374  6 F 2.38-2.50
Li: 0.4922 0.4922 0.7008  4 F 1.94-2.04
Li: 0.5078 0.5078 0.2992  4 F 1.94-2.04
F: 0.0094 0.0094 0.2892  2 Li 1.94
F: 0.3382 0.3382 0.6469  1 Li 2.04
F: 0.3576 0.3576 0.2269  1 Li 1.98
F: 0.6424 0.6424 0.7731  1 Li 1.98
F: 0.6618 0.6618 0.3531  1 Li 2.04
F: 0.9906 0.9906 0.7108  2 Li 1.94

=====

Entry from Alexandria via LeMat-Bulk: a relaxed Pa3Zn2Si4 crystal (PBE).

Density of states at the Fermi level, states/eV per cell: 12.0
E, eV per atom: -6.264
SG: C2/m

Unit cell a=5.7087 b=5.7087 c=8.0947 alpha=100.76 beta=100.76 gamma=41.79
Last column: nearest neighbours and their distance in Å.
Fractional coordinates of all 9 atoms:
Pa: 0.0000 0.0000 0.0000  8 Si 3.08-3.12, 4 Zn 3.11
Pa: 0.3365 0.3365 0.3280  8 Si 3.03-3.11, 4 Zn 3.06-3.11
Pa: 0.6635 0.6635 0.6720  8 Si 3.03-3.11, 4 Zn 3.06-3.11
Zn: 0.3865 0.3865 0.7202  3 Si 2.35
Zn: 0.6135 0.6135 0.2798  3 Si 2.35
Si: 0.0590 0.0590 0.3933  1 Si 2.33, 2 Zn 2.35
Si: 0.2785 0.2785 0.9466  2 Si 2.34, 1 Zn 2.35
Si: 0.7215 0.7215 0.0534  2 Si 2.34, 1 Zn 2.35
Si: 0.9410 0.9410 0.6067  1 Si 2.33, 2 Zn 2.35

=====

Entry from Alexandria via LeMat-Bulk: a relaxed CdGaCl6 crystal (PBE).

E, eV per atom: -2.683
SG: C2/m

Unit cell a=6.7973 b=6.7973 c=6.5504 alpha=100.20 beta=100.20 gamma=124.47
Last column: nearest neighbours and their distance in Å.
Fractional coordinates of all 8 atoms:
Cd: 0.0000 0.0000 0.0000  6 Cl 2.59-2.89
Ga: 0.5000 0.5000 0.5000  6 Cl 2.35-2.55
Cl: 0.1627 0.4397 0.2478  1 Ga 2.35, 1 Cd 2.59
Cl: 0.1976 0.1976 0.6683  1 Ga 2.55, 1 Cl 2.63
Cl: 0.4397 0.1627 0.2478  1 Ga 2.35, 1 Cd 2.59
Cl: 0.5603 0.8373 0.7522  1 Ga 2.35, 1 Cd 2.59
Cl: 0.8024 0.8024 0.3317  1 Ga 2.55, 1 Cl 2.63
Cl: 0.8373 0.5603 0.7522  1 Ga 2.35, 1 Cd 2.59

=====

Entry from Alexandria via LeMat-Bulk: a relaxed CeDy2Tm3 crystal (PBE).

Density of states at the Fermi level, states/eV per cell: 31.0
E, eV per atom: -4.599
Formation energy, eV per atom: 0.16
SG: Ibam
Energy above the most stable polymorph in this dataset, meV/atom: 6

Unit cell a=8.5418 b=8.5418 c=8.5418 alpha=140.55 beta=98.40 gamma=94.68
Last column: nearest neighbours and their distance in Å.
Fractional coordinates of all 12 atoms:
Ce: 0.0000 0.0000 0.0000  6 Dy 3.36-3.68, 4 Tm 3.46
Ce: 0.5000 0.5000 0.0000  6 Dy 3.36-3.68, 4 Tm 3.46
Dy: 0.1701 0.5200 0.6901  3 Ce 3.36-3.68, 2 Dy 3.39, 4 Tm 3.40-3.46
Dy: 0.3299 0.0200 0.3498  3 Ce 3.36-3.68, 2 Dy 3.39, 4 Tm 3.40-3.46
Dy: 0.6701 0.9800 0.6502  3 Ce 3.36-3.68, 2 Dy 3.39, 4 Tm 3.40-3.46
Dy: 0.8299 0.4800 0.3099  3 Ce 3.36-3.68, 2 Dy 3.39, 4 Tm 3.40-3.46
Tm: 0.0795 0.2500 0.8295  5 Tm 3.38-3.68, 2 Dy 3.40, 2 Ce 3.46
Tm: 0.2500 0.7500 0.5000  6 Tm 3.45-3.68, 4 Dy 3.46
Tm: 0.4205 0.2500 0.1705  5 Tm 3.38-3.68, 2 Dy 3.40, 2 Ce 3.46
Tm: 0.5795 0.7500 0.8295  5 Tm 3.38-3.68, 2 Dy 3.40, 2 Ce 3.46
Tm: 0.7500 0.2500 0.5000  6 Tm 3.45-3.68, 4 Dy 3.46
Tm: 0.9205 0.7500 0.1705  5 Tm 3.38-3.68, 2 Dy 3.40, 2 Ce 3.46

=====

The following magnetization values (in μB/f.u.) correspond, in order, to the records above: 1.4; 0.0; 0.0; 0.0; 0.0; 1.0; 1.9.